[1]
DFT (GGA-PBE) results for a geometry-optimized Be2Cd2TeO6 structure.

a = 5.3645 Å, b = 5.3645 Å, c = 5.7718 Å
α = 90.00°, β = 90.00°, γ = 120.00°
Last column: nearest neighbours and their distance in Å.
Space group P-3 (No. 147)
Inequivalent atoms, fractional coordinates:
Be  0.3333  0.6667  0.3042 (multiplicity 2)  3 O 1.55
Cd  0.3333  0.6667  0.8438 (multiplicity 2)  3 O 2.20
Te  0.0000  0.0000  0.5000 (multiplicity 1)  6 O 2.20
O  0.0678  0.7067  0.2777 (multiplicity 6)  1 Be 1.55

Values from the calculation:
- V: 143.85 Å³ per cell
- E_form (uncorrected): -137.91 kJ/mol of atoms
- Crystal system: trigonal

[2]
DFT (GGA-PBE) results for a geometry-optimized LaDy3Y3 structure.

a = 8.6794 Å, b = 8.6794 Å, c = 22.0816 Å
α = 90.00°, β = 90.00°, γ = 120.00°
Last column: nearest neighbours and their distance in Å.
Space group R-3 (No. 148, hexagonal axes)
Inequivalent atoms, fractional coordinates:
La  0.0000  0.0000  0.1505 (multiplicity 6)  6 Y 3.54-3.85, 6 Dy 3.74-3.81
Dy  0.0582  0.6076  0.3784 (multiplicity 18)  4 Y 3.29-3.66, 2 Dy 3.62
Y  0.0051  0.7734  0.5598 (multiplicity 18)  4 Dy 3.29-3.66, 4 Y 3.31-3.45, 1 La 3.54

Values from the calculation:
- Distance to the lowest polymorph of the same formula: 0.213 eV per atom
- V: 1440.60 Å³ per cell
- Crystal system: trigonal

[3]
DFT (GGA-PBE) results for a geometry-optimized Ba2Tl5In structure.

a = 7.6813 Å, b = 7.6813 Å, c = 9.2914 Å
α = 90.00°, β = 90.00°, γ = 90.00°
Last column: nearest neighbours and their distance in Å.
Space group I4mm (No. 107)
Inequivalent atoms, fractional coordinates:
Ba  0.0000  0.5000  0.0000 (multiplicity 4)  10 Tl 3.59-3.90, 2 In 3.87
Tl  0.0000  0.0000  0.0708 (multiplicity 2)  1 In 3.48, 8 Tl 3.54-3.76, 4 Ba 3.90
Tl  0.2129  0.2129  0.7513 (multiplicity 8)  3 Tl 3.27-3.54, 4 Ba 3.59-3.60, 1 In 3.60
In  0.0000  0.0000  0.4454 (multiplicity 2)  9 Tl 3.48-3.66, 4 Ba 3.87

Values from the calculation:
- Distance to the lowest polymorph of the same formula: 0.028 eV per atom
- V: 548.21 Å³ per cell
- Crystal system: tetragonal